V2MoSe6: relaxed, GGA-PBE.

Summary:
Relative energy among the computed polymorphs in meV per atom: 0.0
Energy relative to the elements, uncorrected in eV/atom: -0.65
Total moment in μB/cell: 0.000
Volume in Å³ per atom: 22.2

a b c (Å): 8.604 8.604 7.887
angles (deg): 115.17 115.17 22.27
Fractional positions:
V 0.147 0.147 0.285
V 0.853 0.853 0.715
Mo 0.500 0.500 0.000
Se 0.000 0.000 0.249
Se 0.000 0.000 0.751
Se 0.320 0.320 0.452
Se 0.333 0.333 0.921
Se 0.667 0.667 0.079
Se 0.680 0.680 0.548


KInPb: relaxed, GGA-PBE.

Summary:
E_form in eV/atom: -0.0876
Total moment in μB/cell: 0.000
Volume in Å³ per atom: 32.3

a b c (Å): 5.627 5.627 3.537
angles (deg): 90.00 90.00 120.00
Fractional positions:
K 0.000 0.000 0.000
In 0.333 0.667 0.500
Pb 0.667 0.333 0.500


Ho3SiB2Pt9: relaxed, GGA-PBE.

Summary:
Energy relative to the elements, uncorrected in eV/atom: -0.90
Total moment in μB/cell: 0.000
Volume in Å³ per atom: 17.1

a b c (Å): 5.722 5.722 9.062
angles (deg): 90.00 90.00 120.00
Fractional positions:
Ho 0.000 0.000 0.000
Ho 0.333 0.667 0.601
Ho 0.667 0.333 0.399
Si 0.000 0.000 0.500
B 0.333 0.667 0.151
B 0.667 0.333 0.849
Pt 0.000 0.500 0.000
Pt 0.164 0.329 0.295
Pt 0.164 0.836 0.295
Pt 0.329 0.164 0.705
Pt 0.500 0.000 0.000
Pt 0.500 0.500 0.000
Pt 0.671 0.836 0.295
Pt 0.836 0.164 0.705
Pt 0.836 0.671 0.705


TbPrAg: relaxed, GGA-PBE.

Summary:
E_form in eV/atom: -0.1153
Relative energy among the computed polymorphs in meV per atom: 39.4
Total moment in μB/cell: 0.000
Volume in Å³ per atom: 29.9

a b c (Å): 4.849 4.849 7.626
angles (deg): 90.00 90.00 90.00
Fractional positions:
Tb 0.250 0.750 0.000
Tb 0.750 0.250 0.000
Pr 0.250 0.250 0.373
Pr 0.750 0.750 0.627
Ag 0.250 0.250 0.761
Ag 0.750 0.750 0.239